[1]
CsSr2MgCr: relaxed, PBE-GGA.

Geometry as CIF:
```
data_CsSr2MgCr
_chemical_formula_sum 'Cs1 Sr2 Mg1 Cr1'
_cell_length_a 6.340
_cell_length_b 6.340
_cell_length_c 5.320
_cell_angle_alpha 90.00
_cell_angle_beta 90.00
_cell_angle_gamma 90.00
_symmetry_space_group_name_H-M 'P 1'
_symmetry_Int_Tables_number 1
_symmetry_space_group_name_Hall 'P 1'
loop_
_atom_site_label
_atom_site_fract_x
_atom_site_fract_y
_atom_site_fract_z
Cs1 0.000 0.000 0.000
Sr1 0.000 0.500 0.000
Sr2 0.500 0.000 0.000
Mg1 0.500 0.500 0.500
Cr1 0.000 0.000 0.500
```

magnetic moment = 0.6345 μB/atom
DFT total energy = -0.13081 Ry/atom
N(E_F) = 4.64 states/eV/f.u.
energy relative to the elements = 1307 meV per atom
SG = P4/mmm, No. 123

[2]
CaMg2Si: relaxed, PBE-GGA.

Geometry as CIF:
```
data_CaMg2Si
_chemical_formula_sum 'Ca3 Mg6 Si3'
_cell_length_a 3.542
_cell_length_b 3.542
_cell_length_c 28.605
_cell_angle_alpha 90.00
_cell_angle_beta 90.00
_cell_angle_gamma 120.00
_symmetry_space_group_name_H-M 'P 1'
_symmetry_Int_Tables_number 1
_symmetry_space_group_name_Hall 'P 1'
loop_
_atom_site_label
_atom_site_fract_x
_atom_site_fract_y
_atom_site_fract_z
Ca1 0.000 0.000 0.000
Ca2 0.333 0.667 0.667
Ca3 0.667 0.333 0.333
Mg1 0.000 0.000 0.233
Mg2 0.000 0.000 0.767
Mg3 0.333 0.667 0.434
Mg4 0.333 0.667 0.900
Mg5 0.667 0.333 0.100
Mg6 0.667 0.333 0.566
Si1 0.000 0.000 0.500
Si2 0.333 0.667 0.167
Si3 0.667 0.333 0.833
```

magnetic moment = 0.0000 μB/atom
DFT total energy = -0.18128 Ry/atom
N(E_F) = 2.56 states/eV/f.u.
formation energy from raw total energies = 0.19 eV per atom
SG = R-3m, No. 166

[3]
AcMg3Al3: relaxed, PBE-GGA.

Geometry as CIF:
```
data_AcMg3Al3
_chemical_formula_sum 'Ac2 Mg6 Al6'
_cell_length_a 7.321
_cell_length_b 4.762
_cell_length_c 9.959
_cell_angle_alpha 90.00
_cell_angle_beta 108.24
_cell_angle_gamma 90.00
_symmetry_space_group_name_H-M 'P 1'
_symmetry_Int_Tables_number 1
_symmetry_space_group_name_Hall 'P 1'
loop_
_atom_site_label
_atom_site_fract_x
_atom_site_fract_y
_atom_site_fract_z
Ac1 0.126 0.250 0.278
Ac2 0.874 0.750 0.722
Mg1 0.164 0.250 0.930
Mg2 0.434 0.750 0.853
Mg3 0.498 0.750 0.377
Mg4 0.502 0.250 0.623
Mg5 0.566 0.250 0.147
Mg6 0.836 0.750 0.070
Al1 0.123 0.250 0.630
Al2 0.248 0.750 0.549
Al3 0.270 0.750 0.085
Al4 0.730 0.250 0.915
Al5 0.752 0.250 0.451
Al6 0.877 0.750 0.370
```

magnetic moment = 0.0000 μB/atom
DFT total energy = -0.22335 Ry/atom
N(E_F) = 2.01 states/eV/f.u.
energy relative to the elements = -164 meV per atom
SG = P2_1/m, No. 11

- What is the formula in the second record?
  CaMg2Si

- Among the records above, which one has the highest DFT total energy?
  CsSr2MgCr